22
Lattice="1.7421 -7.8015 0.0000 1.7421 7.8015 0.0000 0.0000 0.0000 9.2667" Properties=species:S:1:pos:R:3 comment="Ho3ReB7 (PBEsol, optimized geometry)" space_group="No. 63" dos_ef_per_ev_atom=0.420 formation_enthalpy_0k_kj_per_mol_atoms=-67.7 total_energy_ev_per_atom=-7.729 pbc="T T T"
Ho 1.7421 6.1559 5.1849
Ho 1.7421 6.1559 8.7152
Ho 1.7421 4.0156 2.3167
Ho 1.7421 -4.0156 6.9500
Ho 1.7421 -6.1559 0.5515
Ho 1.7421 -6.1559 4.0818
Re 1.7421 6.9776 2.3167
Re 1.7421 -6.9776 6.9500
B 1.7421 3.5462 4.9362
B 1.7421 3.5462 8.9639
B 1.7421 2.0684 6.0251
B 1.7421 2.0684 7.8749
B 1.7421 0.6951 2.3167
B 1.7421 0.3150 5.5103
B 1.7421 0.3150 8.3898
B 1.7421 -0.3150 0.8769
B 1.7421 -0.3150 3.7564
B 1.7421 -0.6951 6.9500
B 1.7421 -2.0684 1.3918
B 1.7421 -2.0684 3.2416
B 1.7421 -3.5462 0.3028
B 1.7421 -3.5462 4.3305